(1)
Entry from the Alexandria database: NpPa6Bi10 after structural relaxation (PBE).

Output
DFT total energy = -111.4 eV per formula unit
Calculated volume = 505 Å³ per cell
Magnetization = 10.16 μB/f.u.
ΔH_f (0 K) = -0.1574 eV/atom
Symmetry = P-31m (162)

Lattice parameters (Å, degrees): 9.5613 9.5613 6.3779 90.00 90.00 120.00
Last column: nearest neighbours and their distance in Å.
Fractional positions:
Np1 0.0000 0.0000 0.0000  6 Bi 3.09
Pa1 0.0000 0.3881 0.2450  9 Bi 3.28-3.46
Pa2 0.0000 0.6119 0.7550  9 Bi 3.28-3.46
Pa3 0.3881 0.0000 0.2450  9 Bi 3.28-3.46
Pa4 0.3881 0.3881 0.7550  9 Bi 3.28-3.46
Pa5 0.6119 0.0000 0.7550  9 Bi 3.28-3.46
Pa6 0.6119 0.6119 0.2450  9 Bi 3.28-3.46
Bi1 0.0000 0.2691 0.7330  1 Np 3.09, 4 Pa 3.28-3.31
Bi2 0.0000 0.7309 0.2670  1 Np 3.09, 4 Pa 3.28-3.31
Bi3 0.2691 0.0000 0.7330  1 Np 3.09, 4 Pa 3.28-3.31
Bi4 0.2691 0.2691 0.2670  1 Np 3.09, 4 Pa 3.28-3.31
Bi5 0.3333 0.6667 0.0000  2 Bi 3.19, 6 Pa 3.35
Bi6 0.3333 0.6667 0.5000  2 Bi 3.19, 6 Pa 3.38
Bi7 0.6667 0.3333 0.0000  2 Bi 3.19, 6 Pa 3.35
Bi8 0.6667 0.3333 0.5000  2 Bi 3.19, 6 Pa 3.38
Bi9 0.7309 0.0000 0.2670  1 Np 3.09, 4 Pa 3.28-3.31
Bi10 0.7309 0.7309 0.7330  1 Np 3.09, 4 Pa 3.28-3.31

---

(2)
Entry from the Alexandria database: NpPa2Bi5 after structural relaxation (PBE).

Output
DFT total energy = -51.4 eV per formula unit
Calculated volume = 494 Å³ per cell
Magnetization = 3.03 μB/f.u.
ΔH_f (0 K) = -0.0081 eV/atom
Symmetry = Pbam (55)

Lattice parameters (Å, degrees): 8.3404 12.9467 4.5749 90.00 90.00 90.00
Last column: nearest neighbours and their distance in Å.
Fractional positions:
Np1 0.0000 0.0000 0.0000  6 Bi 3.09-3.13
Np2 0.5000 0.5000 0.0000  6 Bi 3.09-3.13
Pa1 0.0937 0.3241 0.5000  9 Bi 3.25-3.60
Pa2 0.4063 0.8241 0.5000  9 Bi 3.25-3.60
Pa3 0.5937 0.1759 0.5000  9 Bi 3.25-3.60
Pa4 0.9063 0.6759 0.5000  9 Bi 3.25-3.60
Bi1 0.0000 0.5000 0.0000  4 Pa 3.32, 4 Bi 3.38
Bi2 0.1395 0.7787 0.0000  1 Np 3.09, 4 Pa 3.25-3.28
Bi3 0.2274 0.0768 0.5000  2 Np 3.13, 2 Pa 3.31-3.39, 2 Bi 3.38
Bi4 0.2726 0.5768 0.5000  2 Np 3.13, 2 Pa 3.31-3.39, 2 Bi 3.38
Bi5 0.3605 0.2787 0.0000  1 Np 3.09, 4 Pa 3.25-3.28
Bi6 0.5000 0.0000 0.0000  4 Pa 3.32, 4 Bi 3.38
Bi7 0.6395 0.7213 0.0000  1 Np 3.09, 4 Pa 3.25-3.28
Bi8 0.7274 0.4232 0.5000  2 Np 3.13, 2 Pa 3.31-3.39, 2 Bi 3.38
Bi9 0.7726 0.9232 0.5000  2 Np 3.13, 2 Pa 3.31-3.39, 2 Bi 3.38
Bi10 0.8605 0.2213 0.0000  1 Np 3.09, 4 Pa 3.25-3.28

---

(3)
Entry from the Alexandria database: NpPaBi after structural relaxation (PBE).

Output
DFT total energy = -25.4 eV per formula unit
Polymorph energy (0 for the lowest one) = 0.181 eV per atom
Calculated volume = 76 Å³ per cell
Magnetization = 5.44 μB/f.u.
ΔH_f (0 K) = 0.3134 eV/atom
Symmetry = P-6m2 (187)

Lattice parameters (Å, degrees): 5.1471 5.1471 3.3251 90.00 90.00 120.00
Last column: nearest neighbours and their distance in Å.
Fractional positions:
Np1 0.0000 0.0000 0.0000  3 Pa 2.97, 2 Np 3.33
Pa1 0.3333 0.6667 0.0000  3 Np 2.97, 2 Pa 3.33
Bi1 0.6667 0.3333 0.5000  2 Bi 3.33, 6 Np 3.41, 6 Pa 3.41

---

(4)
Entry from the Alexandria database: NpPaBi after structural relaxation (PBE).

Output
DFT total energy = -25.9 eV per formula unit
Polymorph energy (0 for the lowest one) = 0.000 eV per atom
Calculated volume = 78 Å³ per cell
Magnetization = 5.47 μB/f.u.
ΔH_f (0 K) = 0.1323 eV/atom
Symmetry = I4mm (107)

Lattice parameters (Å, degrees): 5.8617 5.8617 5.8617 141.32 141.32 55.86
Last column: nearest neighbours and their distance in Å.
Fractional positions:
Np1 0.0000 0.0000 0.0000  4 Pa 3.02, 5 Bi 3.23-3.37
Pa1 0.6210 0.6210 0.0000  4 Np 3.02, 1 Bi 3.20
Bi1 0.3119 0.3119 0.0000  5 Pa 3.20-3.38, 5 Np 3.23-3.37

---

(5)
Entry from the Alexandria database: NpPaBi after structural relaxation (PBE).

Output
DFT total energy = -25.4 eV per formula unit
Polymorph energy (0 for the lowest one) = 0.182 eV per atom
Calculated volume = 164 Å³ per cell
Magnetization = 4.55 μB/f.u.
ΔH_f (0 K) = 0.3139 eV/atom
Symmetry = Cmcm (63)

Lattice parameters (Å, degrees): 8.7329 8.7329 5.9624 90.00 90.00 158.88
Last column: nearest neighbours and their distance in Å.
Fractional positions:
Np1 0.1590 0.8410 0.7500  2 Pa 3.11, 2 Np 3.20, 5 Bi 3.26-3.39
Np2 0.8410 0.1590 0.2500  2 Pa 3.11, 2 Np 3.20, 5 Bi 3.26-3.39
Pa1 0.0000 0.0000 0.0000  4 Pa 2.98-3.20, 2 Np 3.11
Pa2 0.0000 0.0000 0.5000  4 Pa 2.98-3.20, 2 Np 3.11
Bi1 0.3491 0.6509 0.7500  2 Bi 3.20, 5 Np 3.26-3.39, 4 Pa 3.39
Bi2 0.6509 0.3491 0.2500  2 Bi 3.20, 5 Np 3.26-3.39, 4 Pa 3.39

---

(6)
Entry from the Alexandria database: NpPaBiPd after structural relaxation (PBE).

Output
DFT total energy = -31.0 eV per formula unit
Calculated volume = 95 Å³ per cell
Magnetization = 7.41 μB/f.u.
ΔH_f (0 K) = 0.1389 eV/atom
Symmetry = F-43m (216)

Lattice parameters (Å, degrees): 5.1245 5.1245 5.1245 60.00 60.00 60.00
Last column: nearest neighbours and their distance in Å.
Fractional positions:
Np1 0.0000 0.0000 0.0000  4 Pa 3.14, 4 Bi 3.14
Pa1 0.7500 0.7500 0.7500  4 Np 3.14, 4 Pd 3.14
Bi1 0.2500 0.2500 0.2500  4 Pd 3.14, 4 Np 3.14
Pd1 0.5000 0.5000 0.5000  4 Pa 3.14, 4 Bi 3.14

---

(7)
Entry from the Alexandria database: NpPaBiSb after structural relaxation (PBE).

Output
DFT total energy = -31.0 eV per formula unit
Calculated volume = 109 Å³ per cell
Raw formation energy = -139 meV per atom
Magnetization = 5.91 μB/f.u.
Symmetry = F-43m (216)

Lattice parameters (Å, degrees): 5.3663 5.3663 5.3663 60.00 60.00 60.00
Last column: nearest neighbours and their distance in Å.
Fractional positions:
Np1 0.0000 0.0000 0.0000  4 Bi 3.29, 4 Sb 3.29
Pa1 0.5000 0.5000 0.5000  4 Sb 3.29, 4 Bi 3.29
Bi1 0.2500 0.2500 0.2500  4 Pa 3.29, 4 Np 3.29
Sb1 0.7500 0.7500 0.7500  4 Pa 3.29, 4 Np 3.29

---

(8)
Entry from the Alexandria database: NpPaSnBi after structural relaxation (PBE).

Output
DFT total energy = -30.0 eV per formula unit
Calculated volume = 109 Å³ per cell
Magnetization = 5.67 μB/f.u.
ΔH_f (0 K) = 0.0696 eV/atom
Symmetry = F-43m (216)

Lattice parameters (Å, degrees): 5.3690 5.3690 5.3690 60.00 60.00 60.00
Last column: nearest neighbours and their distance in Å.
Fractional positions:
Np1 0.0000 0.0000 0.0000  4 Sn 3.29, 4 Bi 3.29
Pa1 0.5000 0.5000 0.5000  4 Sn 3.29, 4 Bi 3.29
Sn1 0.2500 0.2500 0.2500  4 Pa 3.29, 4 Np 3.29
Bi1 0.7500 0.7500 0.7500  4 Pa 3.29, 4 Np 3.29